Record 1
Computed, not measured: Zr2AuF after structural relaxation at the PBE-GGA level of DFT.

Results
Volume (Å³/cell): 346.92
E_tot (eV per atom): -6.278
DOS at the Fermi energy (states/eV per atom): 0.441
E_form (uncorrected) (eV per atom): -0.716
Polymorph energy (0 for the lowest one) (eV per formula unit): 0.48

CIF file:
```
data_Zr2AuF
_chemical_formula_sum 'Zr8 Au4 F4'
_cell_length_a 5.1119
_cell_length_b 5.1119
_cell_length_c 13.2760
_cell_angle_alpha 90.00
_cell_angle_beta 90.00
_cell_angle_gamma 90.00
_symmetry_space_group_name_H-M 'I -4 2 d'
_symmetry_Int_Tables_number 122
_symmetry_space_group_name_Hall 'I -4 2bw'
loop_
_atom_site_label
_atom_site_type_symbol
_atom_site_fract_x
_atom_site_fract_y
_atom_site_fract_z
Zr1 Zr 0.1698 0.2500 0.1250
Au1 Au 0.0000 0.0000 0.5000
F1 F 0.0000 0.0000 0.0000
```

Record 2
Computed, not measured: CdRe2Ag after structural relaxation at the PBE-GGA level of DFT.

Results
Volume (Å³/cell): 132.48
E_tot (eV per atom): -6.525
DOS at the Fermi energy (states/eV per atom): 0.886
E_form (meV per atom): 641

CIF file:
```
data_CdRe2Ag
_chemical_formula_sum 'Cd2 Re4 Ag2'
_cell_length_a 9.9979
_cell_length_b 2.8171
_cell_length_c 4.7792
_cell_angle_alpha 90.00
_cell_angle_beta 100.21
_cell_angle_gamma 90.00
_symmetry_space_group_name_H-M 'C 1 2/m 1'
_symmetry_Int_Tables_number 12
_symmetry_space_group_name_Hall '-C 2y'
loop_
_atom_site_label
_atom_site_type_symbol
_atom_site_fract_x
_atom_site_fract_y
_atom_site_fract_z
Cd1 Cd 0.0000 0.0000 0.0000
Re1 Re 0.2496 0.0000 0.7479
Ag1 Ag 0.0000 0.5000 0.5000
```

Record 3
Computed, not measured: AcNi4Pb after structural relaxation at the PBE-GGA level of DFT.

Results
Volume (Å³/cell): 407.57
E_tot (eV per atom): -5.233
DOS at the Fermi energy (states/eV per atom): 1.013
E_form (meV per atom): -76

CIF file:
```
data_AcNi4Pb
_chemical_formula_sum 'Ac4 Ni16 Pb4'
_cell_length_a 7.4142
_cell_length_b 7.4142
_cell_length_c 7.4142
_cell_angle_alpha 90.00
_cell_angle_beta 90.00
_cell_angle_gamma 90.00
_symmetry_space_group_name_H-M 'F -4 3 m'
_symmetry_Int_Tables_number 216
_symmetry_space_group_name_Hall 'F -4 2 3'
loop_
_atom_site_label
_atom_site_type_symbol
_atom_site_fract_x
_atom_site_fract_y
_atom_site_fract_z
Ac1 Ac 0.0000 0.0000 0.0000
Ni1 Ni 0.1235 0.1235 0.6235
Pb1 Pb 0.2500 0.2500 0.2500
```

Record 4
Computed, not measured: Na3Hg3Bi2 after structural relaxation at the PBE-GGA level of DFT.

Results
Volume (Å³/cell): 950.84
E_tot (eV per atom): -1.776
DOS at the Fermi energy (states/eV per atom): 0.302
E_form (meV per atom): -198

CIF file:
```
data_Na3Hg3Bi2
_chemical_formula_sum 'Na12 Hg12 Bi8'
_cell_length_a 4.9686
_cell_length_b 11.7164
_cell_length_c 16.3335
_cell_angle_alpha 90.00
_cell_angle_beta 90.00
_cell_angle_gamma 90.00
_symmetry_space_group_name_H-M 'C m c m'
_symmetry_Int_Tables_number 63
_symmetry_space_group_name_Hall '-C 2c 2'
loop_
_atom_site_label
_atom_site_type_symbol
_atom_site_fract_x
_atom_site_fract_y
_atom_site_fract_z
Na1 Na 0.0000 0.0824 0.0971
Na2 Na 0.0000 0.3370 0.2500
Hg1 Hg 0.0000 0.3838 0.0325
Hg2 Hg 0.0000 0.4079 0.7500
Bi1 Bi 0.0000 0.2058 0.6184
```